(1)
{
  "formula": "Li2Sm4Os",
  "functional": "PBE",
  "state": "optimized geometry",
  "lattice_angstrom": [[4.8438, 0.0000, 1.5133], [2.1855, 4.3227, 1.5133], [-0.0937, -0.0576, 8.8084]],
  "species": ["Li", "Li", "Sm", "Sm", "Sm", "Sm", "Os"],
  "fractional_positions": [[0.7445, 0.7445, 0.7665], [0.2555, 0.2555, 0.2335], [0.8799, 0.8799, 0.3604], [0.1201, 0.1201, 0.6396], [0.6269, 0.6269, 0.1194], [0.3731, 0.3731, 0.8806], [0.0000, 0.0000, 0.0000]],
  "magmom_total_mub_per_atom": 0.000,
  "n_ef_per_ev_fu": 8.43,
  "spacegroup": "R-3m",
  "dft_energy_ev_per_atom": -4.721
}

=====

(2)
{
  "formula": "Tb4SnIr",
  "functional": "PBE",
  "state": "optimized geometry",
  "lattice_angstrom": [[-0.6986, 3.2950, -4.5762], [-6.6797, 0.1335, 1.1158], [1.4516, 4.4718, 8.1549]],
  "species": ["Tb", "Tb", "Tb", "Tb", "Tb", "Tb", "Tb", "Tb", "Sn", "Sn", "Ir", "Ir"],
  "fractional_positions": [[0.5803, 0.2500, 0.4393], [0.4197, 0.7500, 0.5607], [0.6490, 0.2500, 0.8573], [0.3510, 0.7500, 0.1427], [0.9263, 0.0088, 0.2629], [0.0737, 0.5088, 0.7371], [0.9263, 0.4912, 0.2629], [0.0737, 0.9912, 0.7371], [0.3037, 0.2500, 0.0710], [0.6963, 0.7500, 0.9290], [0.1951, 0.2500, 0.5457], [0.8049, 0.7500, 0.4543]],
  "magmom_total_mub_per_atom": 0.000,
  "n_ef_per_ev_fu": 5.57,
  "spacegroup": "P2_1/m",
  "de_polymorph_kj_per_mol_atoms": 0.0,
  "dft_energy_ev_per_atom": -5.833
}

=====

(3)
{
  "formula": "ZrGa2Te6",
  "functional": "PBE",
  "state": "optimized geometry",
  "lattice_angstrom": [[7.8409, -0.2816, -0.2726], [1.9407, 8.9337, -0.2462], [1.9407, 0.0434, 8.9370]],
  "species": ["Zr", "Zr", "Ga", "Ga", "Ga", "Ga", "Te", "Te", "Te", "Te", "Te", "Te", "Te", "Te", "Te", "Te", "Te", "Te"],
  "fractional_positions": [[0.2500, 0.1109, 0.8891], [0.7500, 0.8891, 0.1109], [0.1906, 0.6013, 0.7700], [0.3094, 0.2300, 0.3987], [0.8094, 0.3987, 0.2300], [0.6906, 0.7700, 0.6013], [0.4176, 0.6576, 0.5186], [0.0824, 0.4814, 0.3424], [0.5824, 0.3424, 0.4814], [0.9176, 0.5186, 0.6576], [0.8047, 0.9543, 0.3966], [0.6953, 0.6034, 0.0457], [0.1953, 0.0457, 0.6034], [0.3047, 0.3966, 0.9543], [0.1119, 0.8282, 0.9555], [0.3881, 0.0445, 0.1718], [0.8881, 0.1718, 0.0445], [0.6119, 0.9555, 0.8282]],
  "magmom_total_mub_per_atom": 0.000,
  "formation_energy_uncorrected_ev_per_atom": -0.368,
  "spacegroup": "C2/c",
  "dft_energy_ev_per_atom": -4.085
}